1.
## ScSi2Cl (PBE-GGA)

Data for ScSi2Cl after structural relaxation.

abc: 3.191 3.191 8.579
angles: 90.00 90.00 99.89
Atoms (fractional coordinates):
Cl: 0.000 0.000 0.588
Sc: 0.500 0.500 0.777
Si: 0.000 0.000 0.990
Si: 0.500 0.500 0.145

Computed properties:
SG = Cmm2 (35)
Relative energy among the computed polymorphs = 123 meV per atom
Volume = 21.52 Å³/atom
Raw formation energy = -0.48 eV/atom
Fermi-level density of states = 2.5 states/eV per cell
Mass density = 2.635 Mg/m³
Final energy = -20.931 eV/f.u.



2.
## ScSiCl3 (PBE-GGA)

Data for ScSiCl3 after structural relaxation.

abc: 5.047 5.047 5.047
angles: 90.00 90.00 90.00
Last column: magnetic moment on the atom in μB.
Atoms (fractional coordinates):
Sc: 0.000 0.000 0.000  0.31
Si: 0.500 0.500 0.500  0.48
Cl: 0.000 0.500 0.000  0.01
Cl: 0.000 0.000 0.500  0.02
Cl: 0.500 0.000 0.000  0.00

Computed properties:
SG = Pm-3m (221)
Volume = 25.72 Å³/atom
Raw formation energy = -0.73 eV/atom
Fermi-level density of states = 7.9 states/eV per cell
Mass density = 2.317 Mg/m³
Final energy = -20.953 eV/f.u.